1.
Below is a relaxed structure of TlSb3Se, with properties calculated at the PBE level.

a b c (Å): 5.664 5.664 5.664
angles (deg): 90.00 90.00 90.00
Fractional coordinates of all 5 atoms:
Tl 0.000 0.000 0.000
Sb 0.000 0.000 0.500
Sb 0.000 0.500 0.000
Sb 0.500 0.000 0.000
Se 0.500 0.500 0.500

Summary:
raw formation energy	1.073	eV per atom

---

2.
Below is a relaxed structure of Tl4SbSe4, with properties calculated at the PBE level.

a b c (Å): 7.910 7.910 7.910
angles (deg): 120.84 120.84 88.55
Fractional coordinates of all 9 atoms:
Tl 0.000 0.500 0.500
Tl 0.165 0.165 0.000
Tl 0.500 0.000 0.500
Tl 0.835 0.835 0.000
Sb 0.500 0.500 0.000
Se 0.167 0.556 0.000
Se 0.444 0.444 0.611
Se 0.556 0.167 0.000
Se 0.833 0.833 0.389

Summary:
raw formation energy	-0.249	eV per atom

---

3.
Below is a relaxed structure of Tl5Sb2Se5, with properties calculated at the PBE level.

a b c (Å): 7.204 7.204 13.217
angles (deg): 107.32 107.32 37.97
Fractional coordinates of all 12 atoms:
Tl 0.000 0.000 0.000
Tl 0.161 0.161 0.544
Tl 0.237 0.237 0.839
Tl 0.763 0.763 0.161
Tl 0.839 0.839 0.456
Sb 0.493 0.493 0.723
Sb 0.507 0.507 0.277
Se 0.115 0.115 0.284
Se 0.371 0.371 0.078
Se 0.500 0.500 0.500
Se 0.629 0.629 0.922
Se 0.885 0.885 0.716

Summary:
raw formation energy	-0.269	eV per atom

---

4.
Below is a relaxed structure of TlSb2Se3, with properties calculated at the PBE level.

a b c (Å): 9.443 9.443 6.116
angles (deg): 90.02 90.02 38.21
Fractional coordinates of all 12 atoms:
Tl 0.243 0.757 0.750
Tl 0.757 0.243 0.250
Sb 0.092 0.582 0.250
Sb 0.418 0.908 0.250
Sb 0.582 0.092 0.750
Sb 0.908 0.418 0.750
Se 0.105 0.541 0.752
Se 0.254 0.746 0.250
Se 0.459 0.895 0.748
Se 0.541 0.105 0.252
Se 0.746 0.254 0.750
Se 0.895 0.459 0.248

Summary:
raw formation energy	-0.182	eV per atom

---

5.
Below is a relaxed structure of Tl9SbSe6, with properties calculated at the PBE level.

a b c (Å): 8.998 8.998 8.998
angles (deg): 123.06 123.06 84.77
Fractional coordinates of all 16 atoms:
Tl 0.000 0.000 0.000
Tl 0.009 0.482 0.799
Tl 0.210 0.009 0.527
Tl 0.317 0.790 0.799
Tl 0.482 0.683 0.473
Tl 0.518 0.317 0.527
Tl 0.683 0.210 0.201
Tl 0.790 0.991 0.473
Tl 0.991 0.518 0.201
Sb 0.500 0.500 0.000
Se 0.185 0.354 0.539
Se 0.279 0.279 0.000
Se 0.354 0.815 0.169
Se 0.646 0.185 0.831
Se 0.721 0.721 0.000
Se 0.815 0.646 0.461

Summary:
raw formation energy	-0.357	eV per atom

---

6.
Below is a relaxed structure of Tl7SbSe6, with properties calculated at the PBE level.

a b c (Å): 8.386 8.386 8.386
angles (deg): 65.75 65.75 65.75
Fractional coordinates of all 14 atoms:
Tl 0.000 0.000 0.000
Tl 0.051 0.568 0.836
Tl 0.084 0.542 0.340
Tl 0.340 0.084 0.542
Tl 0.542 0.340 0.084
Tl 0.568 0.836 0.051
Tl 0.836 0.051 0.568
Sb 0.549 0.549 0.549
Se 0.271 0.766 0.416
Se 0.313 0.757 0.895
Se 0.416 0.271 0.766
Se 0.757 0.895 0.313
Se 0.766 0.416 0.271
Se 0.895 0.313 0.757

Summary:
raw formation energy	-0.311	eV per atom

---

7.
Below is a relaxed structure of Tl8SbSe2, with properties calculated at the PBE level.

a b c (Å): 11.434 11.434 7.339
angles (deg): 100.35 100.35 22.57
Fractional coordinates of all 11 atoms:
Tl 0.032 0.032 0.231
Tl 0.217 0.217 0.192
Tl 0.356 0.356 0.543
Tl 0.401 0.401 0.096
Tl 0.599 0.599 0.904
Tl 0.644 0.644 0.457
Tl 0.783 0.783 0.808
Tl 0.968 0.968 0.769
Sb 0.500 0.500 0.500
Se 0.180 0.180 0.759
Se 0.820 0.820 0.241

Summary:
raw formation energy	-0.165	eV per atom

---

8.
Below is a relaxed structure of Tl12Sb3Se5, with properties calculated at the PBE level.

a b c (Å): 15.678 15.678 15.678
angles (deg): 109.47 109.47 109.47
Fractional coordinates of all 80 atoms:
Tl 0.052 0.223 0.140
Tl 0.052 0.330 0.912
Tl 0.082 0.723 0.670
Tl 0.082 0.860 0.412
Tl 0.088 0.640 0.418
Tl 0.088 0.948 0.670
Tl 0.140 0.052 0.223
Tl 0.140 0.588 0.918
Tl 0.170 0.223 0.582
Tl 0.170 0.448 0.588
Tl 0.223 0.140 0.052
Tl 0.223 0.582 0.170
Tl 0.277 0.330 0.918
Tl 0.277 0.448 0.360
Tl 0.330 0.912 0.052
Tl 0.330 0.918 0.277
Tl 0.360 0.277 0.448
Tl 0.360 0.582 0.912
Tl 0.412 0.082 0.860
Tl 0.412 0.830 0.552
Tl 0.418 0.088 0.640
Tl 0.418 0.830 0.777
Tl 0.448 0.360 0.277
Tl 0.448 0.588 0.170
Tl 0.552 0.412 0.830
Tl 0.552 0.640 0.723
Tl 0.582 0.170 0.223
Tl 0.582 0.912 0.360
Tl 0.588 0.170 0.448
Tl 0.588 0.918 0.140
Tl 0.640 0.418 0.088
Tl 0.640 0.723 0.552
Tl 0.670 0.082 0.723
Tl 0.670 0.088 0.948
Tl 0.723 0.552 0.640
Tl 0.723 0.670 0.082
Tl 0.777 0.418 0.830
Tl 0.777 0.860 0.948
Tl 0.830 0.552 0.412
Tl 0.830 0.777 0.418
Tl 0.860 0.412 0.082
Tl 0.860 0.948 0.777
Tl 0.912 0.052 0.330
Tl 0.912 0.360 0.582
Tl 0.918 0.140 0.588
Tl 0.918 0.277 0.330
Tl 0.948 0.670 0.088
Tl 0.948 0.777 0.860
Sb 0.125 0.250 0.375
Sb 0.125 0.375 0.750
Sb 0.250 0.375 0.125
Sb 0.250 0.875 0.625
Sb 0.375 0.125 0.250
Sb 0.375 0.750 0.125
Sb 0.625 0.250 0.875
Sb 0.625 0.875 0.750
Sb 0.750 0.125 0.375
Sb 0.750 0.625 0.875
Sb 0.875 0.625 0.250
Sb 0.875 0.750 0.625
Se 0.000 0.000 0.000
Se 0.000 0.000 0.500
Se 0.000 0.500 0.000
Se 0.000 0.500 0.500
Se 0.125 0.750 0.875
Se 0.125 0.875 0.250
Se 0.250 0.125 0.875
Se 0.250 0.625 0.375
Se 0.375 0.250 0.625
Se 0.375 0.625 0.750
Se 0.500 0.000 0.000
Se 0.500 0.000 0.500
Se 0.500 0.500 0.000
Se 0.500 0.500 0.500
Se 0.625 0.375 0.250
Se 0.625 0.750 0.375
Se 0.750 0.375 0.625
Se 0.750 0.875 0.125
Se 0.875 0.125 0.750
Se 0.875 0.250 0.125

Summary:
raw formation energy	-0.121	eV per atom